Entry 1:
Crystalline LaNpTeO2 at its relaxed geometry, computed with GGA-PBE.

The structure belongs to space group Cmcm (No. 63); the cell edges are 5.748, 12.922 and 5.715 Å and the angles 90.00°, 90.00° and 90.00°. Symmetry generates all atoms from La at (0.000, 0.100, 0.250), Np at (0.000, 0.414, 0.250), Te at (0.000, 0.247, 0.750) and O at (0.243, 0.500, 0.000).

***

Entry 2:
Crystalline LaNpTi2O8 at its relaxed geometry, computed with GGA-PBE.

The structure belongs to space group C2/m (No. 12); the cell edges are 7.660, 6.404 and 7.358 Å and the angles 90.00°, 99.50° and 90.00°. Symmetry generates all atoms from La at (0.000, 0.000, 0.000), Np at (0.000, 0.000, 0.500), Ti at (0.060, 0.500, 0.211), O at (0.003, 0.223, 0.263), O at (0.170, 0.500, 0.010) and O at (0.240, 0.500, 0.432).

***

Entry 3:
Crystalline LaNpTl2O6 at its relaxed geometry, computed with GGA-PBE.

The structure belongs to space group P2_1/c (No. 14); the cell edges are 6.296, 6.289 and 10.896 Å and the angles 90.00°, 125.29° and 90.00°. Symmetry generates all atoms from La at (0.000, 0.000, 0.000), Np at (0.500, 0.000, 0.500), Tl at (0.250, 0.000, 0.750), O at (0.254, 0.000, 0.271), O at (0.278, 0.226, 0.509) and O at (0.283, 0.732, 0.009).

***

Entry 4:
Crystalline LaNpTl2O8 at its relaxed geometry, computed with GGA-PBE.

The structure belongs to space group C2/m (No. 12); the cell edges are 7.351, 7.613 and 7.090 Å and the angles 90.00°, 93.64° and 90.00°. Symmetry generates all atoms from La at (0.000, 0.000, 0.000), Np at (0.000, 0.000, 0.500), Tl at (0.008, 0.500, 0.251), O at (0.002, 0.171, 0.708), O at (0.187, 0.500, 0.980) and O at (0.203, 0.500, 0.488).

***

Entry 5:
Crystalline LaNp3Tl4O12 at its relaxed geometry, computed with GGA-PBE.

The structure belongs to space group Im-3m (No. 229); the cell edges are 8.771, 8.771 and 8.771 Å and the angles 90.00°, 90.00° and 90.00°. Symmetry generates all atoms from La at (0.000, 0.000, 0.000), Np at (0.000, 0.000, 0.500), Tl at (0.250, 0.250, 0.250), O at (0.000, 0.000, 0.273) and O at (0.000, 0.250, 0.500).

***

Entry 6:
Crystalline LaNpTlO6 at its relaxed geometry, computed with GGA-PBE.

The structure belongs to space group P-31c (No. 163); the cell edges are 5.6704, 5.6704 and 10.4955 Å and the angles 90.00°, 90.00° and 120.00°. Symmetry generates all atoms from La at (0.0000, 0.0000, 0.0000), Np at (0.3333, 0.6667, 0.2500), Tl at (0.3333, 0.6667, 0.7500) and O at (0.0290, 0.3640, 0.1369).

***

Entry 7:
Crystalline La2NpTlO8 at its relaxed geometry, computed with GGA-PBE.

The structure belongs to space group P2/m (No. 10); the cell edges are 4.183, 7.942 and 5.511 Å and the angles 90.00°, 97.32° and 90.00°. Symmetry generates all atoms from La at (0.000, 0.243, 0.000), Np at (0.500, 0.000, 0.500), Tl at (0.500, 0.500, 0.500), O at (0.074, 0.000, 0.277), O at (0.114, 0.500, 0.241) and O at (0.443, 0.200, 0.732).

***

Entry 8:
Crystalline LaTm2NpO8 at its relaxed geometry, computed with GGA-PBE.

The structure belongs to space group Cmmm (No. 65); the cell edges are 7.164, 7.190 and 7.148 Å and the angles 90.00°, 90.00° and 90.00°. Symmetry generates all atoms from La at (0.000, 0.000, 0.000), Tm at (0.000, 0.500, 0.242), Np at (0.000, 0.000, 0.500), O at (0.000, 0.282, 0.500), O at (0.000, 0.319, 0.000) and O at (0.189, 0.000, 0.287).

***

Entry 9:
Crystalline LaTmNpO6 at its relaxed geometry, computed with GGA-PBE.

The structure belongs to space group P-31c (No. 163); the cell edges are 5.7458, 5.7458 and 9.9939 Å and the angles 90.00°, 90.00° and 120.00°. Symmetry generates all atoms from La at (0.0000, 0.0000, 0.0000), Tm at (0.3333, 0.6667, 0.2500), Np at (0.3333, 0.6667, 0.7500) and O at (0.0205, 0.3665, 0.6392).

***

Entry 10:
Crystalline La2YNpO8 at its relaxed geometry, computed with GGA-PBE.

The structure belongs to space group P2/m (No. 10); the cell edges are 4.008, 7.602 and 5.627 Å and the angles 90.00°, 94.99° and 90.00°. Symmetry generates all atoms from La at (0.000, 0.244, 0.000), Y at (0.500, 0.000, 0.500), Np at (0.500, 0.500, 0.500), O at (0.016, 0.000, 0.254), O at (0.063, 0.500, 0.288) and O at (0.462, 0.281, 0.725).

***

Entry 11:
Crystalline LaNpZnO6 at its relaxed geometry, computed with GGA-PBE.

The structure belongs to space group P-31c (No. 163); the cell edges are 5.4070, 5.4070 and 10.5775 Å and the angles 90.00°, 90.00° and 120.00°. Symmetry generates all atoms from La at (0.0000, 0.0000, 0.0000), Np at (0.3333, 0.6667, 0.2500), Zn at (0.3333, 0.6667, 0.7500) and O at (0.0155, 0.3653, 0.1415).

***

Entry 12:
Crystalline LaZr2NpO8 at its relaxed geometry, computed with GGA-PBE.

The structure belongs to space group Cmmm (No. 65); the cell edges are 7.136, 7.275 and 6.892 Å and the angles 90.00°, 90.00° and 90.00°. Symmetry generates all atoms from La at (0.000, 0.000, 0.000), Zr at (0.000, 0.500, 0.251), Np at (0.000, 0.000, 0.500), O at (0.000, 0.309, 0.500), O at (0.000, 0.326, 0.000) and O at (0.203, 0.000, 0.277).

***

| no. | calculated total energy (eV/atom) | calculated volume (Å³/cell) | raw formation energy (eV/atom) |
| --- | --- | --- | --- |
| 1 | -8.7707 | 424.5 | -2.59 |
| 2 | -9.1615 | 356.0 | -3.05 |
| 3 | -7.5086 | 352.1 | -2.27 |
| 4 | -7.1141 | 396.0 | -1.93 |
| 5 | -7.9587 | 674.7 | -2.32 |
| 6 | -7.9199 | 292.3 | -2.37 |
| 7 | -7.9712 | 181.6 | -2.57 |
| 8 | -8.7379 | 368.2 | -3.20 |
| 9 | -9.0482 | 285.7 | -3.26 |
| 10 | -8.9093 | 170.8 | -3.17 |
| 11 | -7.9903 | 267.8 | -2.56 |
| 12 | -9.3991 | 357.8 | -3.18 |